Entry 1:
Here is an optimized crystal structure of PaGeS from OQMD via LeMat-Bulk. Energies are from PBE.

a = 3.872 Å, b = 3.872 Å, c = 16.186 Å
α = 90.00°, β = 90.00°, γ = 90.00°
Space group I4/mmm (No. 139)
Unique sites:
1 Pa 0.000 0.000 0.144
2 Ge 0.000 0.500 0.000
3 S 0.000 0.000 0.318

## Properties
- Raw total energy: -7.2648 eV per atom

=====

Entry 2:
Here is an optimized crystal structure of ScPaGe from OQMD via LeMat-Bulk. Energies are from PBE.

a = 6.585 Å, b = 6.585 Å, c = 6.585 Å
α = 90.00°, β = 90.00°, γ = 90.00°
Space group F-43m (No. 216)
Unique sites:
1 Sc 0.000 0.000 0.000
2 Pa 0.250 0.250 0.250
3 Ge 0.250 0.250 0.750

## Properties
- Raw total energy: -6.4158 eV per atom

=====

Entry 3:
Here is an optimized crystal structure of Pa3GeSe2 from OQMD via LeMat-Bulk. Energies are from PBE.

a = 6.907 Å, b = 12.066 Å, c = 7.338 Å
α = 90.00°, β = 108.68°, γ = 90.00°
Space group C2/c (No. 15)
Unique sites:
1 Pa 0.248 0.083 0.499
2 Pa 0.250 0.250 0.000
3 Ge 0.000 0.417 0.750
4 Se 0.000 0.084 0.750
5 Se 0.000 0.252 0.250

## Properties
- Raw total energy: -7.6737 eV per atom

=====

> What is the raw total energy in the first record?

-7.2648 eV per atom